1.
This record from Alexandria via LeMat-Bulk describes a geometry-optimized Ca2Sn2Ru structure. The functional is PBE.

Cell lengths 7.173, 7.173, 4.883 Å; angles 90.00, 90.00, 90.00 degrees
Sites, in units of the cell vectors:
Ca 0.173 0.327 0.000
Ca 0.327 0.827 0.000
Ca 0.673 0.173 0.000
Ca 0.827 0.673 0.000
Sn 0.145 0.645 0.500
Sn 0.355 0.145 0.500
Sn 0.645 0.855 0.500
Sn 0.855 0.355 0.500
Ru 0.000 0.000 0.500
Ru 0.500 0.500 0.500

The uncorrected energy comes out at -4.58 eV/atom. The density of states at the Fermi level comes out at 12.69 states/eV/cell. The density comes out at 5535 kg/m³. For the total moment, the calculation gives 0.00 Bohr magnetons per cell. The calculation puts the formation energy at -7.35 kcal/mol of atoms.

2.
This record from Alexandria via LeMat-Bulk describes a geometry-optimized CaSnRu3 structure. The functional is PBE.

Cell lengths 4.730, 4.730, 4.730 Å; angles 90.00, 90.00, 90.00 degrees
Sites, in units of the cell vectors:
Ca 0.000 0.000 0.000
Sn 0.500 0.500 0.500
Ru 0.000 0.000 0.500
Ru 0.000 0.500 0.000
Ru 0.500 0.000 0.000

The uncorrected energy comes out at -4.83 eV/atom. The density of states at the Fermi level comes out at 6.03 states/eV/cell. The density comes out at 7249 kg/m³. For the total moment, the calculation gives 4.02 Bohr magnetons per cell. The calculation puts the formation energy at 44.54 kcal/mol of atoms. Its polymorph energy (0 for the lowest one) is 3.85 eV/f.u.

3.
This record from Alexandria via LeMat-Bulk describes a geometry-optimized CaSn7Ru2 structure. The functional is PBE.

Cell lengths 8.291, 8.291, 4.525 Å; angles 90.00, 90.00, 115.04 degrees
Sites, in units of the cell vectors:
Ca 0.000 0.000 0.000
Sn 0.062 0.342 0.500
Sn 0.233 0.767 0.000
Sn 0.342 0.062 0.500
Sn 0.500 0.500 0.500
Sn 0.658 0.938 0.500
Sn 0.767 0.233 0.000
Sn 0.938 0.658 0.500
Ru 0.319 0.681 0.500
Ru 0.681 0.319 0.500

The uncorrected energy comes out at -4.85 eV/atom. The density of states at the Fermi level comes out at 6.44 states/eV/cell. The density comes out at 6322 kg/m³. For the total moment, the calculation gives 0.00 Bohr magnetons per cell. The calculation puts the formation energy at 0.20 kcal/mol of atoms.

4.
This record from Alexandria via LeMat-Bulk describes a geometry-optimized CaSn2Ru structure. The functional is PBE.

Cell lengths 3.348, 3.348, 7.809 Å; angles 90.00, 90.00, 90.00 degrees
Sites, in units of the cell vectors:
Ca 0.000 0.000 0.000
Sn 0.500 0.500 0.300
Sn 0.500 0.500 0.700
Ru 0.000 0.000 0.500

The uncorrected energy comes out at -5.11 eV/atom. The density of states at the Fermi level comes out at 3.08 states/eV/cell. The density comes out at 7182 kg/m³. For the total moment, the calculation gives 0.59 Bohr magnetons per cell. The calculation puts the formation energy at -6.62 kcal/mol of atoms.

5.
This record from Alexandria via LeMat-Bulk describes a geometry-optimized CaSn2Ru structure. The functional is PBE.

Cell lengths 6.897, 6.897, 6.897 Å; angles 90.00, 90.00, 90.00 degrees
Sites, in units of the cell vectors:
Ca 0.000 0.000 0.000
Ca 0.000 0.500 0.500
Ca 0.500 0.000 0.500
Ca 0.500 0.500 0.000
Sn 0.250 0.250 0.250
Sn 0.250 0.250 0.750
Sn 0.250 0.750 0.250
Sn 0.250 0.750 0.750
Sn 0.750 0.250 0.250
Sn 0.750 0.250 0.750
Sn 0.750 0.750 0.250
Sn 0.750 0.750 0.750
Ru 0.000 0.000 0.500
Ru 0.000 0.500 0.000
Ru 0.500 0.000 0.000
Ru 0.500 0.500 0.500

The uncorrected energy comes out at -5.00 eV/atom. The density of states at the Fermi level comes out at 9.89 states/eV/cell. The density comes out at 7664 kg/m³. For the total moment, the calculation gives 0.00 Bohr magnetons per cell. The calculation puts the formation energy at -4.12 kcal/mol of atoms.

6.
This record from Alexandria via LeMat-Bulk describes a geometry-optimized CaSn8Ru2 structure. The functional is PBE.

Cell lengths 6.407, 6.407, 7.858 Å; angles 90.00, 90.00, 90.00 degrees
Sites, in units of the cell vectors:
Ca 0.000 0.000 0.000
Sn 0.255 0.255 0.298
Sn 0.255 0.255 0.702
Sn 0.255 0.745 0.298
Sn 0.255 0.745 0.702
Sn 0.745 0.255 0.298
Sn 0.745 0.255 0.702
Sn 0.745 0.745 0.298
Sn 0.745 0.745 0.702
Ru 0.000 0.500 0.500
Ru 0.500 0.000 0.500

The uncorrected energy comes out at -4.76 eV/atom. The density of states at the Fermi level comes out at 9.48 states/eV/cell. The density comes out at 6136 kg/m³. For the total moment, the calculation gives 0.00 Bohr magnetons per cell. The calculation puts the formation energy at 0.37 kcal/mol of atoms.

7.
This record from Alexandria via LeMat-Bulk describes a geometry-optimized CaSn2Ru structure. The functional is PBE.

Cell lengths 4.486, 4.486, 16.218 Å; angles 90.00, 90.00, 120.00 degrees
Sites, in units of the cell vectors:
Ca 0.000 0.000 0.000
Ca 0.333 0.667 0.667
Ca 0.667 0.333 0.333
Sn 0.000 0.000 0.222
Sn 0.000 0.000 0.778
Sn 0.333 0.667 0.445
Sn 0.333 0.667 0.888
Sn 0.667 0.333 0.112
Sn 0.667 0.333 0.555
Ru 0.000 0.000 0.500
Ru 0.333 0.667 0.167
Ru 0.667 0.333 0.833

The uncorrected energy comes out at -5.09 eV/atom. The density of states at the Fermi level comes out at 10.66 states/eV/cell. The density comes out at 6673 kg/m³. For the total moment, the calculation gives 0.00 Bohr magnetons per cell. The calculation puts the formation energy at -6.23 kcal/mol of atoms.

8.
This record from Alexandria via LeMat-Bulk describes a geometry-optimized CaSnRu3 structure. The functional is PBE.

Cell lengths 4.874, 4.874, 4.874 Å; angles 90.00, 90.00, 90.00 degrees
Sites, in units of the cell vectors:
Ca 0.000 0.000 0.000
Sn 0.500 0.500 0.500
Ru 0.000 0.500 0.500
Ru 0.500 0.000 0.500
Ru 0.500 0.500 0.000

The uncorrected energy comes out at -5.60 eV/atom. The density of states at the Fermi level comes out at 5.32 states/eV/cell. The density comes out at 6624 kg/m³. For the total moment, the calculation gives 3.78 Bohr magnetons per cell. The calculation puts the formation energy at 26.78 kcal/mol of atoms. Its polymorph energy (0 for the lowest one) is 0.00 eV/f.u.

9.
This record from Alexandria via LeMat-Bulk describes a geometry-optimized SrCa2Ru structure. The functional is PBE.

Cell lengths 3.609, 3.609, 9.721 Å; angles 90.00, 90.00, 90.00 degrees
Sites, in units of the cell vectors:
Sr 0.000 0.000 0.000
Ca 0.500 0.500 0.336
Ca 0.500 0.500 0.664
Ru 0.000 0.000 0.500

The uncorrected energy comes out at -3.53 eV/atom. The density of states at the Fermi level comes out at 4.19 states/eV/cell. The density comes out at 3526 kg/m³. For the total moment, the calculation gives 0.00 Bohr magnetons per cell. The calculation puts the formation energy at 4.91 kcal/mol of atoms. Its polymorph energy (0 for the lowest one) is 0.00 eV/f.u.

10.
This record from Alexandria via LeMat-Bulk describes a geometry-optimized Sr2CaRu structure. The functional is PBE.

Cell lengths 3.580, 5.049, 16.133 Å; angles 90.00, 90.00, 90.00 degrees
Sites, in units of the cell vectors:
Sr 0.000 0.000 0.153
Sr 0.000 0.000 0.847
Sr 0.500 0.500 0.347
Sr 0.500 0.500 0.653
Ca 0.000 0.500 0.000
Ca 0.500 0.000 0.500
Ru 0.000 0.500 0.500
Ru 0.500 0.000 0.000

The uncorrected energy comes out at -3.37 eV/atom. The density of states at the Fermi level comes out at 6.56 states/eV/cell. The density comes out at 3603 kg/m³. For the total moment, the calculation gives 0.00 Bohr magnetons per cell. The calculation puts the formation energy at 6.73 kcal/mol of atoms. Its polymorph energy (0 for the lowest one) is 0.05 eV/f.u.

11.
This record from Alexandria via LeMat-Bulk describes a geometry-optimized Sr2CaRu structure. The functional is PBE.

Cell lengths 3.697, 3.697, 10.050 Å; angles 90.00, 90.00, 90.00 degrees
Sites, in units of the cell vectors:
Sr 0.000 0.000 0.174
Sr 0.000 0.000 0.826
Ca 0.500 0.500 0.500
Ru 0.500 0.500 0.000

The uncorrected energy comes out at -3.33 eV/atom. The density of states at the Fermi level comes out at 4.68 states/eV/cell. The density comes out at 3826 kg/m³. For the total moment, the calculation gives 0.00 Bohr magnetons per cell. The calculation puts the formation energy at 7.52 kcal/mol of atoms. Its polymorph energy (0 for the lowest one) is 0.18 eV/f.u.

12.
This record from Alexandria via LeMat-Bulk describes a geometry-optimized SrCa2Ru structure. The functional is PBE.

Cell lengths 4.828, 4.828, 4.887 Å; angles 90.00, 90.00, 90.00 degrees
Sites, in units of the cell vectors:
Sr 0.000 0.000 0.000
Ca 0.000 0.500 0.500
Ca 0.500 0.000 0.500
Ru 0.500 0.500 0.000

The uncorrected energy comes out at -3.31 eV/atom. The density of states at the Fermi level comes out at 2.36 states/eV/cell. The density comes out at 3919 kg/m³. For the total moment, the calculation gives 0.00 Bohr magnetons per cell. The calculation puts the formation energy at 9.89 kcal/mol of atoms. Its polymorph energy (0 for the lowest one) is 0.86 eV/f.u.